Entry 1:
Compound: NbTeS
Source: the Alexandria database
Functional: GGA-PBE
Structure: optimized geometry

## Properties
**Theoretical density**: 5.42 Mg/m³
**Calculated volume**: 25.8 Å³/atom
**E_form (uncorrected)**: -0.69 eV per atom
**Magnetic moment**: 0.00 Bohr magnetons per cell

Unit cell a=6.1210 b=3.5341 c=14.4150 alpha=90.00 beta=97.38 gamma=90.00
Closest atoms and distances in Å follow each position.
Space group Cm (No. 8)
Unique sites:
Nb1 0.0000 0.0000 0.0000 (multiplicity 2)  3 S 2.48
Nb2 0.1795 0.0000 0.4475 (multiplicity 2)  3 S 2.48
Te1 0.1251 0.5000 0.8624 (multiplicity 2)  3 Nb 2.83
Te2 0.3878 0.5000 0.5851 (multiplicity 2)  3 Nb 2.83
S1 0.3633 0.0000 0.0991 (multiplicity 2)  3 Nb 2.48
S2 0.4828 0.0000 0.3485 (multiplicity 2)  3 Nb 2.48

***

Entry 2:
Compound: Tm2Sc6Cd
Source: the Alexandria database
Functional: GGA-PBE
Structure: optimized geometry

## Properties
**Formation energy**: 43 meV/atom
**Theoretical density**: 5.16 Mg/m³
**Calculated volume**: 25.7 Å³/atom
**Magnetic moment**: 0.00 Bohr magnetons per cell

Unit cell a=3.3451 b=9.6090 c=14.4195 alpha=90.00 beta=90.00 gamma=90.00
Closest atoms and distances in Å follow each position.
Space group Immm (No. 71)
Unique sites:
Tm1 0.0000 0.0000 0.1376 (multiplicity 4)  10 Sc 3.32-3.45, 2 Tm 3.35
Sc1 0.0000 0.2719 0.5000 (multiplicity 4)  2 Cd 3.10, 6 Sc 3.30-3.35, 4 Tm 3.40
Sc2 0.0000 0.3392 0.1827 (multiplicity 8)  1 Cd 3.05, 7 Sc 3.08-3.35, 1 Tm 3.32
Cd1 0.0000 0.5000 0.0000 (multiplicity 2)  8 Sc 3.05-3.10, 2 Cd 3.35